1.
This record from the Alexandria database describes a relaxed structure of CsCaH2SeF. The functional is PBE.

Cell lengths 4.7002, 5.3449, 7.6862 Å; angles 76.95, 89.98, 64.39 degrees
Atoms (fractional coordinates):
H: 0.8272 0.8021 0.1827
H: 0.2047 0.0549 0.6652
F: 0.0653 0.3345 0.0847
Cs: 0.5399 0.3855 0.8385
Se: 0.8345 0.7845 0.3784
Ca: 0.1488 0.1621 0.3689

Magnetization, μB per formula unit: 0.05
Space-group type: P1, No. 1
DFT total energy, eV per atom: -3.788
V, Å³/atom: 28.1

2.
This record from the Alexandria database describes a relaxed structure of Li4PmPd. The functional is PBE.

Cell lengths 5.3334, 5.3334, 5.3334 Å; angles 60.00, 60.00, 60.00 degrees
Atoms (fractional coordinates):
Li: 0.6280 0.6280 0.1161
Li: 0.1161 0.6280 0.6280
Li: 0.6280 0.6280 0.6280
Li: 0.6280 0.1161 0.6280
Pm: 0.2500 0.2500 0.2500
Pd: 0.0000 0.0000 0.0000

Magnetization, μB per formula unit: 0.00
Space-group type: F-43m, No. 216
Calculated formation energy, eV/atom: -0.10
V, Å³/atom: 17.9

3.
This record from the Alexandria database describes a relaxed structure of NbHg3I. The functional is PBE.

Cell lengths 5.6667, 5.6667, 5.6667 Å; angles 90.00, 90.00, 90.00 degrees
Atoms (fractional coordinates):
Hg: 0.5000 0.0000 0.0000
Hg: 0.0000 0.0000 0.5000
Hg: 0.0000 0.5000 0.0000
I: 0.5000 0.5000 0.5000
Nb: 0.0000 0.0000 0.0000

Magnetization, μB per formula unit: 3.72
Space-group type: Pm-3m, No. 221
Energy relative to the elements, uncorrected, eV/atom: 0.595
V, Å³/atom: 36.4

4.
This record from the Alexandria database describes a relaxed structure of MgOs3. The functional is PBE.

Cell lengths 5.5229, 5.5229, 8.9131 Å; angles 90.00, 90.00, 120.00 degrees
Atoms (fractional coordinates):
Os: 0.6755 0.8378 0.7500
Os: 0.3245 0.1622 0.2500
Os: 0.5000 0.5000 0.5000
Os: 0.5000 0.0000 0.5000
Os: 0.0000 0.5000 0.0000
Os: 0.1622 0.3245 0.7500
Os: 0.5000 0.5000 0.0000
Os: 0.1622 0.8378 0.7500
Os: 0.0000 0.5000 0.5000
Os: 0.5000 0.0000 0.0000
Os: 0.8378 0.1622 0.2500
Os: 0.8378 0.6755 0.2500
Mg: 0.0000 0.0000 0.5000
Mg: 0.0000 0.0000 0.0000
Mg: 0.3333 0.6667 0.2500
Mg: 0.6667 0.3333 0.7500

Magnetization, μB per formula unit: 0.00
Space-group type: P6_3/mmc, No. 194
Calculated formation energy, eV/atom: 0.43
V, Å³/atom: 14.7

5.
This record from the Alexandria database describes a relaxed structure of KTmInF6. The functional is PBE.

Cell lengths 6.1468, 6.1468, 10.5667 Å; angles 90.00, 90.00, 120.00 degrees
Atoms (fractional coordinates):
F: 0.6401 0.0218 0.8576
F: 0.3818 0.0218 0.6424
F: 0.9782 0.6182 0.8576
F: 0.0218 0.3818 0.1424
F: 0.6182 0.9782 0.3576
F: 0.3599 0.3818 0.3576
F: 0.0218 0.6401 0.3576
F: 0.6182 0.6401 0.1424
F: 0.9782 0.3599 0.6424
F: 0.3599 0.9782 0.1424
F: 0.6401 0.6182 0.6424
F: 0.3818 0.3599 0.8576
Tm: 0.6667 0.3333 0.7500
Tm: 0.3333 0.6667 0.2500
K: 0.0000 0.0000 0.5000
K: 0.0000 0.0000 0.0000
In: 0.6667 0.3333 0.2500
In: 0.3333 0.6667 0.7500

Magnetization, μB per formula unit: 0.64
Space-group type: P-31c, No. 163
Energy relative to the elements, uncorrected, eV/atom: -3.121
V, Å³/atom: 19.2

6.
This record from the Alexandria database describes a relaxed structure of ScMnCl3. The functional is PBE.

Cell lengths 5.0688, 5.0688, 5.0688 Å; angles 90.00, 90.00, 90.00 degrees
Atoms (fractional coordinates):
Cl: 0.0000 0.0000 0.5000
Cl: 0.0000 0.5000 0.0000
Cl: 0.5000 0.0000 0.0000
Sc: 0.0000 0.0000 0.0000
Mn: 0.5000 0.5000 0.5000

Magnetization, μB per formula unit: 5.00
Space-group type: Pm-3m, No. 221
Energy relative to the elements, uncorrected, eV/atom: -0.903
V, Å³/atom: 26.0

7.
This record from the Alexandria database describes a relaxed structure of Nd3Dy6Sc. The functional is PBE.

Cell lengths 6.2752, 10.9147, 10.9147 Å; angles 119.88, 90.00, 90.00 degrees
Atoms (fractional coordinates):
Dy: 0.3694 0.0431 0.4631
Dy: 0.1351 0.7228 0.2772
Dy: 0.9021 0.0453 0.9547
Dy: 0.5488 0.2885 0.3797
Dy: 0.6351 0.2772 0.7228
Dy: 0.0488 0.7115 0.6203
Dy: 0.8694 0.9569 0.5369
Dy: 0.5488 0.6203 0.7115
Dy: 0.0488 0.3797 0.2885
Dy: 0.3694 0.5369 0.9569
Dy: 0.4021 0.9547 0.0453
Dy: 0.8694 0.4631 0.0431
Nd: 0.4572 0.9450 0.7180
Nd: 0.9572 0.7180 0.9450
Nd: 0.0700 0.3867 0.6133
Nd: 0.9572 0.0550 0.2820
Nd: 0.4572 0.2820 0.0550
Nd: 0.5700 0.6133 0.3867
Sc: 0.1272 0.2021 0.7979
Sc: 0.6272 0.7979 0.2021

Magnetization, μB per formula unit: 0.00
Space-group type: Cmc2_1, No. 36
Calculated formation energy, eV/atom: 0.15
V, Å³/atom: 32.4

8.
This record from the Alexandria database describes a relaxed structure of Ba2CaMn. The functional is PBE.

Cell lengths 6.1398, 6.1398, 4.5543 Å; angles 90.00, 90.00, 90.01 degrees
Atoms (fractional coordinates):
Mn: 0.0000 0.5000 0.5000
Ba: 0.5000 0.5000 0.0000
Ba: 0.0000 0.0000 0.0000
Ca: 0.5000 0.0000 0.5000

Magnetization, μB per formula unit: 4.08
Space-group type: P4/mmm, No. 123
Calculated formation energy, eV/atom: 0.44
V, Å³/atom: 42.9

9.
This record from the Alexandria database describes a relaxed structure of LiThGa2Cu. The functional is PBE.

Cell lengths 4.2786, 4.2786, 5.9024 Å; angles 111.25, 111.25, 90.00 degrees
Atoms (fractional coordinates):
Th: 0.0000 0.0000 0.0000
Li: 0.7500 0.2500 0.5000
Ga: 0.6224 0.6224 0.2448
Ga: 0.3776 0.3776 0.7552
Cu: 0.2500 0.7500 0.5000

Magnetization, μB per formula unit: 0.00
Space-group type: I-4m2, No. 119
Calculated formation energy, eV/atom: -0.38
V, Å³/atom: 18.6

10.
This record from the Alexandria database describes a relaxed structure of Ag6PdAu2. The functional is PBE.

Cell lengths 5.0519, 7.5866, 9.0786 Å; angles 106.22, 72.90, 89.48 degrees
Atoms (fractional coordinates):
Ag: 0.7758 0.4746 0.7789
Ag: 0.4423 0.9744 0.7833
Ag: 0.9983 0.0826 0.6685
Ag: 0.4451 0.8052 0.4446
Ag: 0.2242 0.5254 0.2211
Ag: 0.2226 0.3594 0.8910
Ag: 0.6678 0.2465 0.0006
Ag: 0.5549 0.1948 0.5554
Ag: 0.3322 0.7535 0.9994
Ag: 0.0017 0.9174 0.3315
Ag: 0.5577 0.0256 0.2167
Ag: 0.7774 0.6406 0.1090
Au: 0.1159 0.3009 0.4413
Au: 0.3252 0.5856 0.6695
Au: 0.8841 0.6991 0.5587
Au: 0.6748 0.4144 0.3305
Pd: 0.8934 0.8614 0.8884
Pd: 0.1066 0.1386 0.1116

Magnetization, μB per formula unit: 0.00
Space-group type: P-1, No. 2
Calculated formation energy, eV/atom: -0.02
V, Å³/atom: 17.7

11.
This record from the Alexandria database describes a relaxed structure of CeTh2Nb. The functional is PBE.

Cell lengths 3.6209, 3.6209, 8.1846 Å; angles 90.00, 90.00, 90.00 degrees
Atoms (fractional coordinates):
Th: 0.0000 0.0000 0.2267
Th: 0.0000 0.0000 0.7733
Ce: 0.5000 0.5000 0.5000
Nb: 0.5000 0.5000 0.0000

Magnetization, μB per formula unit: 0.00
Space-group type: P4/mmm, No. 123
Calculated formation energy, eV/atom: 0.11
V, Å³/atom: 26.8

12.
This record from the Alexandria database describes a relaxed structure of FeTc2Au. The functional is PBE.

Cell lengths 3.0936, 3.0936, 6.2287 Å; angles 90.00, 90.00, 90.00 degrees
Atoms (fractional coordinates):
Au: 0.5000 0.5000 0.2500
Fe: 0.5000 0.5000 0.7500
Tc: 0.0000 0.0000 0.5458
Tc: 0.0000 0.0000 0.9542

Magnetization, μB per formula unit: 2.21
Space-group type: P4/mmm, No. 123
Calculated formation energy, eV/atom: 0.29
V, Å³/atom: 14.9